Material: MgTcRh
Method: DFT, PBE-GGA
State: relaxed

a = 3.690 Å, b = 3.690 Å, c = 7.093 Å
α = 90.00°, β = 90.00°, γ = 90.00°
Sites, in units of the cell vectors:
Mg (0.250, 0.250, 0.159)
Mg (0.750, 0.750, 0.841)
Tc (0.250, 0.750, 0.500)
Tc (0.750, 0.250, 0.500)
Rh (0.250, 0.250, 0.781)
Rh (0.750, 0.750, 0.219)

The uncorrected energy comes out at -6.462 eV/atom. For the energy relative to the elements, the calculation gives -0.024 eV per atom. The calculation puts the excess energy over the best structure of this formula in the dataset at 148.7 meV/atom. For the calculated volume, the calculation gives 97 Å³ per cell. The space-group type is No. 129.

---

Material: Mg2TcTeRh
Method: DFT, PBE-GGA
State: relaxed

a = 4.932 Å, b = 4.932 Å, c = 4.888 Å
α = 90.00°, β = 90.00°, γ = 90.00°
Sites, in units of the cell vectors:
Mg (0.000, 0.500, 0.000)
Mg (0.500, 0.000, 0.000)
Tc (0.000, 0.000, 0.000)
Te (0.000, 0.000, 0.500)
Rh (0.500, 0.500, 0.500)

The uncorrected energy comes out at -4.064 eV/atom. For the calculated volume, the calculation gives 119 Å³ per cell. The value obtained for the energy relative to the elements, uncorrected is 0.745 eV/atom. The space-group type is No. 123.

---

Material: ThMgTcRh
Method: DFT, PBE-GGA
State: relaxed

a = 4.744 Å, b = 4.744 Å, c = 4.744 Å
α = 60.00°, β = 60.00°, γ = 60.00°
Sites, in units of the cell vectors:
Th (0.000, 0.000, 0.000)
Mg (0.500, 0.500, 0.500)
Tc (0.750, 0.750, 0.750)
Rh (0.250, 0.250, 0.250)

The uncorrected energy comes out at -6.972 eV/atom. For the energy relative to the elements, the calculation gives -0.289 eV per atom. For the calculated volume, the calculation gives 76 Å³ per cell. The space-group type is No. 216.

---

Material: MgTl2TcRh
Method: DFT, PBE-GGA
State: relaxed

a = 5.197 Å, b = 5.197 Å, c = 4.607 Å
α = 90.00°, β = 90.00°, γ = 90.00°
Sites, in units of the cell vectors:
Mg (0.000, 0.000, 0.000)
Tl (0.000, 0.500, 0.000)
Tl (0.500, 0.000, 0.000)
Tc (0.500, 0.500, 0.500)
Rh (0.000, 0.000, 0.500)

The uncorrected energy comes out at -3.489 eV/atom. For the energy relative to the elements, the calculation gives 1.320 eV per atom. For the calculated volume, the calculation gives 124 Å³ per cell. The space-group type is No. 123.

---

Material: MgVTcRh2
Method: DFT, PBE-GGA
State: relaxed

a = 4.632 Å, b = 4.632 Å, c = 4.763 Å
α = 90.00°, β = 90.00°, γ = 90.00°
Sites, in units of the cell vectors:
Mg (0.000, 0.000, 0.000)
V (0.500, 0.500, 0.000)
Tc (0.000, 0.000, 0.500)
Rh (0.000, 0.500, 0.500)
Rh (0.500, 0.000, 0.500)

The uncorrected energy comes out at -5.836 eV/atom. For the energy relative to the elements, the calculation gives 1.320 eV per atom. For the calculated volume, the calculation gives 102 Å³ per cell. The space-group type is No. 123.

---

Material: Mg2TcRhW
Method: DFT, PBE-GGA
State: relaxed

a = 4.817 Å, b = 4.817 Å, c = 4.586 Å
α = 90.00°, β = 90.00°, γ = 90.00°
Sites, in units of the cell vectors:
Mg (0.000, 0.500, 0.000)
Mg (0.500, 0.000, 0.000)
Tc (0.000, 0.000, 0.000)
Rh (0.000, 0.000, 0.500)
W (0.500, 0.500, 0.500)

The uncorrected energy comes out at -5.142 eV/atom. For the energy relative to the elements, the calculation gives 1.630 eV per atom. For the calculated volume, the calculation gives 106 Å³ per cell. The space-group type is No. 123.

---

Material: MgTcRhW
Method: DFT, PBE-GGA
State: relaxed

a = 4.405 Å, b = 4.405 Å, c = 4.405 Å
α = 60.00°, β = 60.00°, γ = 60.00°
Sites, in units of the cell vectors:
Mg (0.000, 0.000, 0.000)
Tc (0.250, 0.250, 0.250)
Rh (0.750, 0.750, 0.750)
W (0.500, 0.500, 0.500)

The uncorrected energy comes out at -8.209 eV/atom. For the energy relative to the elements, the calculation gives -0.143 eV per atom. For the calculated volume, the calculation gives 60 Å³ per cell. The space-group type is No. 216.

---

Material: MgTeRh2
Method: DFT, PBE-GGA
State: relaxed

a = 5.850 Å, b = 5.850 Å, c = 5.850 Å
α = 104.95°, β = 104.95°, γ = 118.96°
Sites, in units of the cell vectors:
Mg (0.000, 0.000, 0.000)
Mg (0.750, 0.250, 0.500)
Te (0.250, 0.750, 0.500)
Te (0.500, 0.500, 0.000)
Rh (0.139, 0.625, 0.014)
Rh (0.375, 0.389, 0.514)
Rh (0.611, 0.125, 0.986)
Rh (0.875, 0.861, 0.486)

The uncorrected energy comes out at -4.841 eV/atom. The calculation puts the excess energy over the best structure of this formula in the dataset at 383.8 meV/atom. For the calculated volume, the calculation gives 151 Å³ per cell. The value obtained for the energy relative to the elements, uncorrected is 0.018 eV/atom. The space-group type is No. 122.

---

Material: Mg2TeRh
Method: DFT, PBE-GGA
State: relaxed

a = 4.776 Å, b = 4.776 Å, c = 4.776 Å
α = 60.00°, β = 60.00°, γ = 60.00°
Sites, in units of the cell vectors:
Mg (0.000, 0.000, 0.000)
Mg (0.250, 0.250, 0.250)
Te (0.750, 0.750, 0.750)
Rh (0.500, 0.500, 0.500)

The uncorrected energy comes out at -3.611 eV/atom. For the calculated volume, the calculation gives 77 Å³ per cell. The value obtained for the energy relative to the elements, uncorrected is -0.190 eV/atom. The space-group type is No. 216.

---

Material: MgTe2Rh
Method: DFT, PBE-GGA
State: relaxed

a = 4.997 Å, b = 4.997 Å, c = 4.997 Å
α = 60.00°, β = 60.00°, γ = 60.00°
Sites, in units of the cell vectors:
Mg (0.000, 0.000, 0.000)
Te (0.250, 0.250, 0.250)
Te (0.500, 0.500, 0.500)
Rh (0.750, 0.750, 0.750)

The uncorrected energy comes out at -3.596 eV/atom. For the calculated volume, the calculation gives 88 Å³ per cell. The value obtained for the energy relative to the elements, uncorrected is 0.211 eV/atom. The space-group type is No. 216.

---

Material: Mg2TeRh
Method: DFT, PBE-GGA
State: relaxed

a = 5.316 Å, b = 5.316 Å, c = 6.931 Å
α = 108.47°, β = 108.47°, γ = 98.52°
Sites, in units of the cell vectors:
Mg (0.128, 0.748, 0.700)
Mg (0.252, 0.872, 0.300)
Mg (0.748, 0.128, 0.700)
Mg (0.872, 0.252, 0.300)
Te (0.314, 0.314, 0.102)
Te (0.686, 0.686, 0.898)
Rh (0.242, 0.242, 0.673)
Rh (0.758, 0.758, 0.327)

The uncorrected energy comes out at -3.905 eV/atom. For the calculated volume, the calculation gives 169 Å³ per cell. The value obtained for the energy relative to the elements, uncorrected is -0.484 eV/atom. The space-group type is No. 12.

---

Material: MgTe2Rh
Method: DFT, PBE-GGA
State: relaxed

a = 4.011 Å, b = 5.642 Å, c = 4.039 Å
α = 90.00°, β = 90.01°, γ = 90.00°
Sites, in units of the cell vectors:
Mg (0.000, 0.000, 0.000)
Te (0.500, 0.000, 0.505)
Te (0.995, 0.500, 0.052)
Rh (0.496, 0.500, 0.540)

The uncorrected energy comes out at -4.166 eV/atom. For the calculated volume, the calculation gives 91 Å³ per cell. The value obtained for the energy relative to the elements, uncorrected is -0.359 eV/atom. The space-group type is No. 6.

---

Material: Mg2TeRh
Method: DFT, PBE-GGA
State: relaxed

a = 4.803 Å, b = 5.711 Å, c = 6.645 Å
α = 69.05°, β = 75.33°, γ = 85.68°
Sites, in units of the cell vectors:
Mg (0.212, 0.333, 0.274)
Mg (0.244, 0.847, 0.952)
Mg (0.756, 0.153, 0.048)
Mg (0.788, 0.667, 0.726)
Te (0.338, 0.783, 0.414)
Te (0.662, 0.217, 0.586)
Rh (0.272, 0.420, 0.844)
Rh (0.728, 0.580, 0.156)

The uncorrected energy comes out at -3.881 eV/atom. For the calculated volume, the calculation gives 165 Å³ per cell. The value obtained for the energy relative to the elements, uncorrected is -0.461 eV/atom. The space-group type is No. 2.

---

Material: Mg2TeRh
Method: DFT, PBE-GGA
State: relaxed

a = 5.361 Å, b = 5.361 Å, c = 6.285 Å
α = 90.00°, β = 90.00°, γ = 110.96°
Sites, in units of the cell vectors:
Mg (0.076, 0.420, 0.086)
Mg (0.420, 0.076, 0.914)
Mg (0.580, 0.924, 0.414)
Mg (0.924, 0.580, 0.586)
Te (0.178, 0.178, 0.500)
Te (0.822, 0.822, 0.000)
Rh (0.429, 0.571, 0.750)
Rh (0.571, 0.429, 0.250)

The uncorrected energy comes out at -3.878 eV/atom. For the calculated volume, the calculation gives 169 Å³ per cell. The value obtained for the energy relative to the elements, uncorrected is -0.457 eV/atom. The space-group type is No. 20.

---

Material: Mg2TeRh
Method: DFT, PBE-GGA
State: relaxed

a = 6.864 Å, b = 5.269 Å, c = 5.269 Å
α = 68.04°, β = 90.00°, γ = 90.00°
Sites, in units of the cell vectors:
Mg (0.096, 0.250, 0.750)
Mg (0.302, 0.596, 0.096)
Mg (0.698, 0.096, 0.596)
Mg (0.904, 0.750, 0.250)
Te (0.318, 0.940, 0.440)
Te (0.682, 0.440, 0.940)
Rh (0.000, 0.248, 0.248)
Rh (0.000, 0.748, 0.748)

The uncorrected energy comes out at -3.964 eV/atom. For the calculated volume, the calculation gives 177 Å³ per cell. The value obtained for the energy relative to the elements, uncorrected is -0.544 eV/atom. The space-group type is No. 39.

---

Material: MgTeRh2
Method: DFT, PBE-GGA
State: relaxed

a = 8.275 Å, b = 8.275 Å, c = 8.275 Å
α = 22.35°, β = 22.35°, γ = 22.35°
Sites, in units of the cell vectors:
Mg (0.000, 0.000, 0.000)
Te (0.500, 0.500, 0.500)
Rh (0.247, 0.247, 0.247)
Rh (0.753, 0.753, 0.753)

The uncorrected energy comes out at -4.976 eV/atom. The calculation puts the excess energy over the best structure of this formula in the dataset at 249.7 meV/atom. For the calculated volume, the calculation gives 72 Å³ per cell. The value obtained for the energy relative to the elements, uncorrected is -0.116 eV/atom. The space-group type is No. 166.

---

Material: Mg2TeRh
Method: DFT, PBE-GGA
State: relaxed

a = 6.134 Å, b = 6.134 Å, c = 6.134 Å
α = 102.66°, β = 102.66°, γ = 124.16°
Sites, in units of the cell vectors:
Mg (0.088, 0.625, 0.963)
Mg (0.375, 0.338, 0.463)
Mg (0.662, 0.125, 0.037)
Mg (0.875, 0.912, 0.537)
Te (0.250, 0.750, 0.500)
Te (0.500, 0.500, 0.000)
Rh (0.000, 0.000, 0.000)
Rh (0.750, 0.250, 0.500)

The uncorrected energy comes out at -3.546 eV/atom. For the calculated volume, the calculation gives 169 Å³ per cell. The value obtained for the energy relative to the elements, uncorrected is -0.125 eV/atom. The space-group type is No. 122.

---

Material: MgTe3Rh
Method: DFT, PBE-GGA
State: relaxed

a = 5.257 Å, b = 5.257 Å, c = 5.257 Å
α = 90.00°, β = 90.00°, γ = 90.00°
Sites, in units of the cell vectors:
Mg (0.000, 0.000, 0.000)
Te (0.000, 0.500, 0.500)
Te (0.500, 0.000, 0.500)
Te (0.500, 0.500, 0.000)
Rh (0.500, 0.500, 0.500)

The uncorrected energy comes out at -3.512 eV/atom. The calculation puts the excess energy over the best structure of this formula in the dataset at 0.0 meV/atom. For the calculated volume, the calculation gives 145 Å³ per cell. The value obtained for the energy relative to the elements, uncorrected is 0.162 eV/atom. The space-group type is No. 221.

---

Material: MgTe2Rh
Method: DFT, PBE-GGA
State: relaxed

a = 4.964 Å, b = 4.964 Å, c = 6.676 Å
α = 112.10°, β = 112.10°, γ = 46.08°
Sites, in units of the cell vectors:
Mg (0.000, 0.000, 0.000)
Te (0.635, 0.635, 0.748)
Te (0.858, 0.858, 0.318)
Rh (0.291, 0.291, 0.027)

The uncorrected energy comes out at -4.207 eV/atom. For the calculated volume, the calculation gives 108 Å³ per cell. The value obtained for the energy relative to the elements, uncorrected is -0.400 eV/atom. The space-group type is No. 8.

---

Material: MgTeRh2
Method: DFT, PBE-GGA
State: relaxed

a = 3.608 Å, b = 3.608 Å, c = 5.361 Å
α = 90.00°, β = 90.00°, γ = 90.00°
Sites, in units of the cell vectors:
Mg (0.000, 0.000, 0.000)
Te (0.500, 0.500, 0.659)
Rh (0.000, 0.000, 0.489)
Rh (0.500, 0.500, 0.165)

The uncorrected energy comes out at -5.149 eV/atom. The calculation puts the excess energy over the best structure of this formula in the dataset at 76.1 meV/atom. For the calculated volume, the calculation gives 70 Å³ per cell. The value obtained for the energy relative to the elements, uncorrected is -0.289 eV/atom. The space-group type is No. 99.

---

Material: MgTeRh2
Method: DFT, PBE-GGA
State: relaxed

a = 4.606 Å, b = 4.606 Å, c = 4.606 Å
α = 60.00°, β = 60.00°, γ = 60.00°
Sites, in units of the cell vectors:
Mg (0.000, 0.000, 0.000)
Te (0.750, 0.750, 0.750)
Rh (0.250, 0.250, 0.250)
Rh (0.500, 0.500, 0.500)

The uncorrected energy comes out at -4.876 eV/atom. The calculation puts the excess energy over the best structure of this formula in the dataset at 349.1 meV/atom. For the calculated volume, the calculation gives 69 Å³ per cell. The value obtained for the energy relative to the elements, uncorrected is -0.016 eV/atom. The space-group type is No. 216.

---

Material: MgTe2Rh
Method: DFT, PBE-GGA
State: relaxed

a = 3.290 Å, b = 3.508 Å, c = 7.552 Å
α = 90.00°, β = 90.00°, γ = 90.00°
Sites, in units of the cell vectors:
Mg (0.000, 0.000, 0.000)
Te (0.500, 0.500, 0.276)
Te (0.500, 0.500, 0.724)
Rh (0.000, 0.000, 0.500)

The uncorrected energy comes out at -3.869 eV/atom. For the calculated volume, the calculation gives 87 Å³ per cell. The value obtained for the energy relative to the elements, uncorrected is -0.062 eV/atom. The space-group type is No. 47.

---

Material: Mg2TeRh
Method: DFT, PBE-GGA
State: relaxed

a = 3.861 Å, b = 4.420 Å, c = 4.444 Å
α = 88.97°, β = 89.91°, γ = 89.99°
Sites, in units of the cell vectors:
Mg (0.000, 0.000, 0.000)
Mg (0.000, 0.500, 0.500)
Te (0.500, 0.000, 0.500)
Rh (0.500, 0.500, 0.000)

The uncorrected energy comes out at -3.777 eV/atom. For the calculated volume, the calculation gives 76 Å³ per cell. The value obtained for the energy relative to the elements, uncorrected is -0.356 eV/atom. The space-group type is No. 2.

---

Material: Mg2TeRh
Method: DFT, PBE-GGA
State: relaxed

a = 7.413 Å, b = 7.413 Å, c = 4.484 Å
α = 107.55°, β = 107.55°, γ = 48.36°
Sites, in units of the cell vectors:
Mg (0.000, 0.000, 0.000)
Mg (0.174, 0.174, 0.671)
Mg (0.500, 0.500, 0.000)
Mg (0.826, 0.826, 0.329)
Te (0.321, 0.321, 0.317)
Te (0.679, 0.679, 0.683)
Rh (0.257, 0.743, 0.500)
Rh (0.743, 0.257, 0.500)

The uncorrected energy comes out at -3.977 eV/atom. For the calculated volume, the calculation gives 174 Å³ per cell. The value obtained for the energy relative to the elements, uncorrected is -0.557 eV/atom. The space-group type is No. 12.

---

Material: Mg2TeRh
Method: DFT, PBE-GGA
State: relaxed

a = 5.561 Å, b = 5.561 Å, c = 7.876 Å
α = 111.13°, β = 111.13°, γ = 48.95°
Sites, in units of the cell vectors:
Mg (0.000, 0.000, 0.000)
Mg (0.284, 0.284, 0.973)
Mg (0.405, 0.405, 0.665)
Mg (0.573, 0.573, 0.311)
Te (0.707, 0.707, 0.711)
Te (0.884, 0.884, 0.340)
Rh (0.255, 0.255, 0.288)
Rh (0.634, 0.634, 0.012)

The uncorrected energy comes out at -3.898 eV/atom. For the calculated volume, the calculation gives 169 Å³ per cell. The value obtained for the energy relative to the elements, uncorrected is -0.477 eV/atom. The space-group type is No. 8.

---

Material: Mg2TeRh
Method: DFT, PBE-GGA
State: relaxed

a = 3.509 Å, b = 3.636 Å, c = 6.010 Å
α = 90.00°, β = 90.00°, γ = 90.00°
Sites, in units of the cell vectors:
Mg (0.000, 0.000, 0.225)
Mg (0.000, 0.000, 0.775)
Te (0.500, 0.500, 0.500)
Rh (0.500, 0.500, 0.000)

The uncorrected energy comes out at -3.804 eV/atom. For the calculated volume, the calculation gives 77 Å³ per cell. The value obtained for the energy relative to the elements, uncorrected is -0.383 eV/atom. The space-group type is No. 47.